No. 1
# Zr5Ga2Sn2 | Alexandria | PBE | relaxed
data_Zr5Ga2Sn2
_space_group_name_H-M_alt 'C m c e'
_space_group_IT_number 64
_space_group_name_Hall '-C 2ac 2'
_cell_length_a 14.295
_cell_length_b 7.457
_cell_length_c 7.401
_cell_angle_alpha 90.00
_cell_angle_beta 90.00
_cell_angle_gamma 90.00
loop_
_atom_site_label
_atom_site_type_symbol
_atom_site_fract_x
_atom_site_fract_y
_atom_site_fract_z
Zr1 Zr 0.000 0.000 0.000
Zr2 Zr 0.126 0.175 0.324
Ga1 Ga 0.000 0.125 0.625
Sn1 Sn 0.213 0.000 0.000
# E (eV/atom): -6.852
# DOS at the Fermi energy (states/eV per cell): 27.84
# Calculated formation energy (eV/atom): -0.5410
# Total magnetization (μB per cell): 0.0

---

No. 2
# ZrGa3Sn | Alexandria | PBE | relaxed
data_ZrGa3Sn
_space_group_name_H-M_alt 'P m -3 m'
_space_group_IT_number 221
_space_group_name_Hall '-P 4 2 3'
_cell_length_a 5.123
_cell_length_b 5.123
_cell_length_c 5.123
_cell_angle_alpha 90.00
_cell_angle_beta 90.00
_cell_angle_gamma 90.00
loop_
_atom_site_label
_atom_site_type_symbol
_atom_site_fract_x
_atom_site_fract_y
_atom_site_fract_z
Zr1 Zr 0.000 0.000 0.000
Ga1 Ga 0.000 0.500 0.500
Sn1 Sn 0.500 0.500 0.500
# Energy above the most stable polymorph in this dataset (meV/atom): 386
# E (eV/atom): -3.473
# DOS at the Fermi energy (states/eV per cell): 4.32
# Calculated formation energy (eV/atom): 0.8533
# Total magnetization (μB per cell): 0.0

---

No. 3
# ZrGaSn | Alexandria | PBE | relaxed
data_ZrGaSn
_space_group_name_H-M_alt 'C m c m'
_space_group_IT_number 63
_space_group_name_Hall '-C 2c 2'
_cell_length_a 4.159
_cell_length_b 14.859
_cell_length_c 4.056
_cell_angle_alpha 90.00
_cell_angle_beta 90.00
_cell_angle_gamma 90.00
loop_
_atom_site_label
_atom_site_type_symbol
_atom_site_fract_x
_atom_site_fract_y
_atom_site_fract_z
Zr1 Zr 0.000 0.092 0.250
Ga1 Ga 0.000 0.444 0.250
Sn1 Sn 0.000 0.248 0.750
# Energy above the most stable polymorph in this dataset (meV/atom): 0
# E (eV/atom): -5.638
# DOS at the Fermi energy (states/eV per cell): 6.20
# Calculated formation energy (eV/atom): -0.4459
# Total magnetization (μB per cell): 0.0

---

No. 4
# Zr6Ga3Sn | Alexandria | PBE | relaxed
data_Zr6Ga3Sn
_space_group_name_H-M_alt 'P 1 21/c 1'
_space_group_IT_number 14
_cell_length_a 7.524
_cell_length_b 7.121
_cell_length_c 10.970
_cell_angle_alpha 90.00
_cell_angle_beta 131.67
_cell_angle_gamma 90.00
loop_
_space_group_symop_operation_xyz
'x,y,z'
'-x,-y,-z'
'-x,y+1/2,-z+1/2'
'x,-y+1/2,z+1/2'
loop_
_atom_site_label
_atom_site_type_symbol
_atom_site_fract_x
_atom_site_fract_y
_atom_site_fract_z
Zr1 Zr 0.030 0.106 0.255
Zr2 Zr 0.218 0.164 0.065
Zr3 Zr 0.399 0.642 0.064
Ga1 Ga 0.000 0.000 0.500
Ga2 Ga 0.289 0.672 0.743
Sn1 Sn 0.500 0.000 0.000
# E (eV/atom): -6.685
# DOS at the Fermi energy (states/eV per cell): 17.65
# Calculated formation energy (eV/atom): -0.2481
# Total magnetization (μB per cell): 0.0

---

No. 5
# ZrGa3Sn | Alexandria | PBE | relaxed
data_ZrGa3Sn
_space_group_name_H-M_alt 'P m -3 m'
_space_group_IT_number 221
_space_group_name_Hall '-P 4 2 3'
_cell_length_a 5.229
_cell_length_b 5.229
_cell_length_c 5.229
_cell_angle_alpha 90.00
_cell_angle_beta 90.00
_cell_angle_gamma 90.00
loop_
_atom_site_label
_atom_site_type_symbol
_atom_site_fract_x
_atom_site_fract_y
_atom_site_fract_z
Zr1 Zr 0.000 0.000 0.000
Ga1 Ga 0.000 0.000 0.500
Sn1 Sn 0.500 0.500 0.500
# Energy above the most stable polymorph in this dataset (meV/atom): 0
# E (eV/atom): -3.859
# DOS at the Fermi energy (states/eV per cell): 3.12
# Calculated formation energy (eV/atom): 0.4672
# Total magnetization (μB per cell): 0.0

---

No. 6
# ZrGa2Sn2 | Alexandria | PBE | relaxed
data_ZrGa2Sn2
_space_group_name_H-M_alt 'P 4/m b m'
_space_group_IT_number 127
_space_group_name_Hall '-P 4 2ab'
_cell_length_a 7.676
_cell_length_b 7.676
_cell_length_c 3.818
_cell_angle_alpha 90.00
_cell_angle_beta 90.00
_cell_angle_gamma 90.00
loop_
_atom_site_label
_atom_site_type_symbol
_atom_site_fract_x
_atom_site_fract_y
_atom_site_fract_z
Zr1 Zr 0.000 0.000 0.000
Ga1 Ga 0.164 0.336 0.500
Sn1 Sn 0.138 0.638 0.000
# Energy above the most stable polymorph in this dataset (meV/atom): 134
# E (eV/atom): -4.487
# DOS at the Fermi energy (states/eV per cell): 5.92
# Calculated formation energy (eV/atom): 0.0347
# Total magnetization (μB per cell): 0.0

---

No. 7
# ZrGaSn | Alexandria | PBE | relaxed
data_ZrGaSn
_space_group_name_H-M_alt 'P -6 m 2'
_space_group_IT_number 187
_space_group_name_Hall 'P -6 2'
_cell_length_a 4.9026
_cell_length_b 4.9026
_cell_length_c 3.0129
_cell_angle_alpha 90.00
_cell_angle_beta 90.00
_cell_angle_gamma 120.00
loop_
_atom_site_label
_atom_site_type_symbol
_atom_site_fract_x
_atom_site_fract_y
_atom_site_fract_z
Zr1 Zr 0.0000 0.0000 0.0000
Ga1 Ga 0.3333 0.6667 0.5000
Sn1 Sn 0.6667 0.3333 0.5000
# Energy above the most stable polymorph in this dataset (meV/atom): 270
# E (eV/atom): -5.368
# DOS at the Fermi energy (states/eV per cell): 2.42
# Calculated formation energy (eV/atom): -0.1756
# Total magnetization (μB per cell): 0.0

---

No. 8
# Zr6GaSn2 | Alexandria | PBE | relaxed
data_Zr6GaSn2
_space_group_name_H-M_alt 'P -6 2 m'
_space_group_IT_number 189
_space_group_name_Hall 'P -6 -2'
_cell_length_a 7.7760
_cell_length_b 7.7760
_cell_length_c 3.8527
_cell_angle_alpha 90.00
_cell_angle_beta 90.00
_cell_angle_gamma 120.00
loop_
_atom_site_label
_atom_site_type_symbol
_atom_site_fract_x
_atom_site_fract_y
_atom_site_fract_z
Zr1 Zr 0.0000 0.3971 0.0000
Zr2 Zr 0.0000 0.7510 0.5000
Ga1 Ga 0.0000 0.0000 0.0000
Sn1 Sn 0.3333 0.6667 0.5000
# E (eV/atom): -7.423
# DOS at the Fermi energy (states/eV per cell): 11.11
# Calculated formation energy (eV/atom): -0.4980
# Total magnetization (μB per cell): 0.0

---

No. 9
# ZrGa2Sn2 | Alexandria | PBE | relaxed
data_ZrGa2Sn2
_space_group_name_H-M_alt 'P 4/m b m'
_space_group_IT_number 127
_space_group_name_Hall '-P 4 2ab'
_cell_length_a 7.420
_cell_length_b 7.420
_cell_length_c 3.908
_cell_angle_alpha 90.00
_cell_angle_beta 90.00
_cell_angle_gamma 90.00
loop_
_atom_site_label
_atom_site_type_symbol
_atom_site_fract_x
_atom_site_fract_y
_atom_site_fract_z
Zr1 Zr 0.000 0.000 0.000
Ga1 Ga 0.129 0.371 0.000
Sn1 Sn 0.170 0.670 0.500
# Energy above the most stable polymorph in this dataset (meV/atom): 0
# E (eV/atom): -4.621
# DOS at the Fermi energy (states/eV per cell): 7.06
# Calculated formation energy (eV/atom): -0.0994
# Total magnetization (μB per cell): 0.0

---

No. 10
# SrGa11 | Alexandria | PBE | relaxed
data_SrGa11
_space_group_name_H-M_alt 'I 41/a m d'
_space_group_IT_number 141
_cell_length_a 10.887
_cell_length_b 10.887
_cell_length_c 8.293
_cell_angle_alpha 90.00
_cell_angle_beta 90.00
_cell_angle_gamma 90.00
loop_
_space_group_symop_operation_xyz
'x,y,z'
'-x,-y,-z'
'-y+1/4,x+3/4,z+1/4'
'y+1/4,-x+3/4,-z+1/4'
'-x+1/2,-y,z+1/2'
'x+1/2,y,-z+1/2'
'y+1/4,-x+1/4,z+3/4'
'-y+1/4,x+1/4,-z+3/4'
'x,-y,-z'
'-x,y,z'
'-y+1/4,-x+1/4,-z+3/4'
'y+1/4,x+1/4,z+3/4'
'-x+1/2,y,-z+1/2'
'x+1/2,-y,z+1/2'
'y+1/4,x+3/4,-z+1/4'
'-y+1/4,-x+3/4,z+1/4'
'x+1/2,y+1/2,z+1/2'
'-x+1/2,-y+1/2,-z+1/2'
'-y+3/4,x+1/4,z+3/4'
'y+3/4,-x+1/4,-z+3/4'
'-x,-y+1/2,z'
'x,y+1/2,-z'
'y+3/4,-x+3/4,z+1/4'
'-y+3/4,x+3/4,-z+1/4'
'x+1/2,-y+1/2,-z+1/2'
'-x+1/2,y+1/2,z+1/2'
'-y+3/4,-x+3/4,-z+1/4'
'y+3/4,x+3/4,z+1/4'
'-x,y+1/2,-z'
'x,-y+1/2,z'
'y+3/4,x+1/4,-z+3/4'
'-y+3/4,-x+1/4,z+3/4'
loop_
_atom_site_label
_atom_site_type_symbol
_atom_site_fract_x
_atom_site_fract_y
_atom_site_fract_z
Sr1 Sr 0.000 0.250 0.375
Ga1 Ga 0.000 0.000 0.000
Ga2 Ga 0.000 0.250 0.875
Ga3 Ga 0.123 0.047 0.663
# E (eV/atom): -3.037
# DOS at the Fermi energy (states/eV per cell): 21.65
# Calculated formation energy (eV/atom): -0.1226
# Total magnetization (μB per cell): 0.0

---

No. 11
# Sr5Ga2 | Alexandria | PBE | relaxed
data_Sr5Ga2
_space_group_name_H-M_alt 'C 1 2/c 1'
_space_group_IT_number 15
_cell_length_a 18.487
_cell_length_b 7.512
_cell_length_c 8.348
_cell_angle_alpha 90.00
_cell_angle_beta 99.14
_cell_angle_gamma 90.00
loop_
_space_group_symop_operation_xyz
'x,y,z'
'-x,-y,-z'
'-x,y,-z+1/2'
'x,-y,z+1/2'
'x+1/2,y+1/2,z'
'-x+1/2,-y+1/2,-z'
'-x+1/2,y+1/2,-z+1/2'
'x+1/2,-y+1/2,z+1/2'
loop_
_atom_site_label
_atom_site_type_symbol
_atom_site_fract_x
_atom_site_fract_y
_atom_site_fract_z
Sr1 Sr 0.000 0.070 0.250
Sr2 Sr 0.088 0.385 0.925
Sr3 Sr 0.218 0.075 0.320
Ga1 Ga 0.111 0.215 0.577
# E (eV/atom): -2.298
# DOS at the Fermi energy (states/eV per cell): 33.11
# Calculated formation energy (eV/atom): -0.2317
# Total magnetization (μB per cell): 0.0

---

Copy entry 11 word for word.
# Sr5Ga2 | Alexandria | PBE | relaxed
data_Sr5Ga2
_space_group_name_H-M_alt 'C 1 2/c 1'
_space_group_IT_number 15
_cell_length_a 18.487
_cell_length_b 7.512
_cell_length_c 8.348
_cell_angle_alpha 90.00
_cell_angle_beta 99.14
_cell_angle_gamma 90.00
loop_
_space_group_symop_operation_xyz
'x,y,z'
'-x,-y,-z'
'-x,y,-z+1/2'
'x,-y,z+1/2'
'x+1/2,y+1/2,z'
'-x+1/2,-y+1/2,-z'
'-x+1/2,y+1/2,-z+1/2'
'x+1/2,-y+1/2,z+1/2'
loop_
_atom_site_label
_atom_site_type_symbol
_atom_site_fract_x
_atom_site_fract_y
_atom_site_fract_z
Sr1 Sr 0.000 0.070 0.250
Sr2 Sr 0.088 0.385 0.925
Sr3 Sr 0.218 0.075 0.320
Ga1 Ga 0.111 0.215 0.577
# E (eV/atom): -2.298
# DOS at the Fermi energy (states/eV per cell): 33.11
# Calculated formation energy (eV/atom): -0.2317
# Total magnetization (μB per cell): 0.0

---

Among the records above, which one has the lowest E?
Zr6GaSn2

---

The lowest E belongs to which entry?
Zr6GaSn2